Record 1
{
  "formula": "CsCrSe2",
  "functional": "PBE",
  "state": "relaxed",
  "lattice": [[-0.5517, 0.2486, 6.7194], [2.8880, -8.9211, 3.1978], [3.6135, 1.2641, 0.2532]],
  "species": ["Cs", "Cs", "Se", "Cr", "Se", "Cr", "Se", "Se"],
  "frac_coords": [[0.8661, 0.7483, 0.7147], [0.2406, 0.0815, 0.7184], [0.7763, 0.3985, 0.7174], [0.4158, 0.5576, 0.7185], [0.3940, 0.7303, 0.2184], [0.6397, 0.3059, 0.2174], [0.2818, 0.4221, 0.2182], [0.7497, 0.0670, 0.2164]],
  "dft_energy_ev_per_atom": -5.09,
  "dos_ef_per_ev_fu": 1.5,
  "total_magnetization_mub_per_cell": 6.0,
  "raw_formation_energy_ev_per_atom": -0.726
}


Record 2
{
  "formula": "CsCrSe2",
  "functional": "PBE",
  "state": "relaxed",
  "lattice": [[9.8755, 0.0071, -0.0552], [0.5284, 8.2450, -0.1185], [0.7842, -0.9124, 3.6914]],
  "species": ["Cr", "Se", "Se", "Cs", "Cr", "Se", "Cs", "Se"],
  "frac_coords": [[0.2143, 0.1519, 0.3478], [0.1014, 0.3221, 0.9895], [0.4828, 0.1809, 0.2278], [0.3646, 0.5766, 0.9848], [0.4755, 0.9958, 0.6387], [0.6346, 0.7642, 0.4440], [0.7978, 0.3979, 0.6797], [0.2402, 0.9355, 0.7265]],
  "dft_energy_ev_per_atom": -5.02,
  "dos_ef_per_ev_fu": 2.1,
  "total_magnetization_mub_per_cell": 6.0,
  "raw_formation_energy_ev_per_atom": -0.663
}


Record 3
{
  "formula": "CsCrSe2",
  "functional": "PBE",
  "state": "relaxed",
  "lattice": [[-3.5165, -6.8095, 6.6273], [4.9344, -4.6600, 3.2119], [0.0887, 3.0194, 2.1242]],
  "species": ["Se", "Cr", "Se", "Cs", "Se", "Cr", "Se", "Cs"],
  "frac_coords": [[0.2555, 0.1066, 0.7517], [0.4442, 0.9764, 0.2808], [0.5770, 0.1929, 0.4569], [0.2689, 0.6054, 0.0097], [0.5952, 0.7258, 0.7313], [0.7279, 0.9423, 0.9075], [0.9167, 0.8123, 0.4367], [0.9034, 0.3134, 0.1783]],
  "dft_energy_ev_per_atom": -5.12,
  "dos_ef_per_ev_fu": 2.2,
  "total_magnetization_mub_per_cell": 6.0,
  "raw_formation_energy_ev_per_atom": -0.763
}


Record 4
{
  "formula": "CsCrSe2",
  "functional": "PBE",
  "state": "relaxed",
  "lattice": [[-16.9257, -7.2403, -1.9116], [-1.5320, -0.1735, -7.3932], [4.9514, -5.6321, -0.8937]],
  "species": ["Se", "Se", "Se", "Cr", "Cr", "Se", "Se", "Cr", "Se", "Cs", "Cs", "Cr", "Cs", "Cr", "Se", "Cr", "Se", "Cs", "Se", "Se", "Cs", "Cs", "Se", "Cs", "Cs", "Se", "Se", "Se", "Se", "Se", "Cr", "Cr"],
  "frac_coords": [[0.5820, 0.0571, 0.3151], [0.7496, 0.6706, 0.7036], [0.1173, 0.1614, 0.9632], [0.8009, 0.8992, 0.6409], [0.1987, 0.1011, 0.6962], [0.3827, 0.4632, 0.6614], [0.7504, 0.2036, 0.1706], [0.8013, 0.8989, 0.3038], [0.6173, 0.5368, 0.3386], [0.4020, 0.9497, 0.1736], [0.4156, 0.4521, 0.1869], [0.6987, 0.8038, 0.3989], [0.9156, 0.3131, 0.0479], [0.1991, 0.1008, 0.3591], [0.7500, 0.2028, 0.7028], [0.3009, 0.8591, 0.6008], [0.7500, 0.6692, 0.1692], [0.5980, 0.0503, 0.8264], [0.9180, 0.8151, 0.5571], [0.2500, 0.7972, 0.2972], [0.0980, 0.6736, 0.4497], [0.9020, 0.3264, 0.5503], [0.2500, 0.3308, 0.8308], [0.5844, 0.5479, 0.8131], [0.0844, 0.6869, 0.9521], [0.2504, 0.3294, 0.2964], [0.0820, 0.1849, 0.4429], [0.4180, 0.9429, 0.6849], [0.8827, 0.8386, 0.0368], [0.2496, 0.7964, 0.8294], [0.3013, 0.1962, 0.6011], [0.6991, 0.1409, 0.3992]],
  "dft_energy_ev_per_atom": -5.02,
  "dos_ef_per_ev_fu": 0.0,
  "total_magnetization_mub_per_cell": 0.0,
  "raw_formation_energy_ev_per_atom": -0.659
}


Record 5
{
  "formula": "CsCrSe2",
  "functional": "PBE",
  "state": "relaxed",
  "lattice": [[3.9264, 0.0000, 0.0000], [1.9632, 3.4004, 0.0000], [1.9632, 1.1335, 8.0449]],
  "species": ["Se", "Cs", "Cr", "Se"],
  "frac_coords": [[0.0539, 0.0539, 0.8383], [0.4988, 0.4988, 0.5036], [0.6673, 0.6673, 0.9982], [0.2800, 0.2800, 0.1599]],
  "dft_energy_ev_per_atom": -5.12,
  "total_magnetization_mub_per_cell": 3.0,
  "raw_formation_energy_ev_per_atom": -0.760
}


Record 6
{
  "formula": "Cs4CrSe5",
  "functional": "PBE",
  "state": "relaxed",
  "lattice": [[-1.9719, -5.2850, 0.9706], [-0.1387, -4.5575, -8.2211], [7.3778, -5.4982, 1.9273]],
  "species": ["Cr", "Se", "Cs", "Cs", "Se", "Se", "Cs", "Se", "Cs", "Se"],
  "frac_coords": [[0.8981, 0.0000, 0.0000], [0.1817, 0.9004, 0.7569], [0.2576, 0.3522, 0.1510], [0.4086, 0.8490, 0.3522], [0.5136, 0.0000, 0.0000], [0.8390, 0.0996, 0.2431], [0.7607, 0.6478, 0.8490], [0.0821, 0.7569, 0.0996], [0.6098, 0.1510, 0.6478], [0.9386, 0.2431, 0.9004]],
  "dft_energy_ev_per_atom": -3.82,
  "dos_ef_per_ev_fu": 2.5,
  "total_magnetization_mub_per_cell": 1.9,
  "raw_formation_energy_ev_per_atom": -0.776
}


Record 7
{
  "formula": "CsCrSe2",
  "functional": "PBE",
  "state": "relaxed",
  "lattice": [[-5.4367, 7.0645, -2.0037], [-3.1663, 1.9445, 5.2151], [3.7435, 3.0735, 1.1257]],
  "species": ["Se", "Se", "Se", "Cs", "Cs", "Cr", "Se", "Cr"],
  "frac_coords": [[0.5861, 0.1589, 0.1519], [0.2661, 0.1748, 0.6427], [0.9061, 0.8548, 0.6608], [0.2527, 0.6700, 0.1739], [0.9195, 0.3367, 0.1293], [0.6634, 0.8987, 0.5059], [0.5861, 0.6053, 0.6517], [0.5087, 0.9760, 0.7978]],
  "dft_energy_ev_per_atom": -4.94,
  "dos_ef_per_ev_fu": 0.0,
  "total_magnetization_mub_per_cell": 0.0,
  "raw_formation_energy_ev_per_atom": -0.583
}


Record 8
{
  "formula": "CsCrSe2",
  "functional": "PBE",
  "state": "relaxed",
  "lattice": [[3.8097, -2.4584, 2.8335], [0.3954, 0.8632, 5.2616], [-1.3105, -3.8689, 3.4497]],
  "species": ["Se", "Se", "Cr", "Cs"],
  "frac_coords": [[0.2500, 0.2500, 0.2500], [0.7500, 0.7500, 0.7500], [0.0000, 0.0000, 0.0000], [0.5000, 0.5000, 0.5000]],
  "dft_energy_ev_per_atom": -4.22,
  "dos_ef_per_ev_fu": 4.2,
  "total_magnetization_mub_per_cell": 3.0,
  "raw_formation_energy_ev_per_atom": 0.140
}


Record 9
{
  "formula": "Cs3CrSe",
  "functional": "PBE",
  "state": "relaxed",
  "lattice": [[6.9866, 0.0000, 0.0000], [0.0000, 6.9866, 0.0000], [0.0000, 0.0000, 6.9866]],
  "species": ["Cs", "Cs", "Se", "Cr", "Cs"],
  "frac_coords": [[0.0000, 0.0000, 0.5000], [0.0000, 0.5000, 0.0000], [0.0000, 0.0000, 0.0000], [0.5000, 0.5000, 0.5000], [0.5000, 0.0000, 0.0000]],
  "dft_energy_ev_per_atom": -3.15,
  "dos_ef_per_ev_fu": 0.0,
  "total_magnetization_mub_per_cell": 5.0,
  "polymorph_energy_mev_per_atom": 0,
  "raw_formation_energy_ev_per_atom": -0.017
}


Record 10
{
  "formula": "CsCrSe2",
  "functional": "PBE",
  "state": "relaxed",
  "lattice": [[3.6602, -2.1132, 0.0000], [0.0000, 4.2264, 0.0000], [0.0000, 0.0000, 8.3277]],
  "species": ["Cs", "Cr", "Se", "Se"],
  "frac_coords": [[0.0000, 0.0000, 0.9911], [0.3333, 0.6667, 0.4278], [0.6667, 0.3333, 0.3375], [0.3333, 0.6667, 0.6986]],
  "dft_energy_ev_per_atom": -4.85,
  "dos_ef_per_ev_fu": 2.1,
  "total_magnetization_mub_per_cell": 3.0,
  "raw_formation_energy_ev_per_atom": -0.487
}


Record 11
{
  "formula": "CsCrSe2",
  "functional": "PBE",
  "state": "relaxed",
  "lattice": [[-5.4383, -3.6456, -2.7540], [2.2500, -1.8903, -1.9406], [1.3687, -12.2683, 13.5373]],
  "species": ["Cs", "Se", "Se", "Cr", "Se", "Cr", "Se", "Se", "Cs", "Cr", "Se", "Se", "Cs", "Cs", "Se", "Cr"],
  "frac_coords": [[0.7552, 0.7500, 0.4184], [0.2560, 0.7500, 0.4069], [0.5068, 0.7500, 0.2502], [0.2572, 0.2500, 0.3087], [0.7560, 0.7500, 0.0931], [0.7428, 0.7500, 0.6913], [0.0068, 0.7500, 0.2498], [0.4932, 0.2500, 0.7498], [0.2552, 0.7500, 0.0816], [0.2428, 0.7500, 0.8087], [0.7440, 0.2500, 0.5931], [0.2440, 0.2500, 0.9069], [0.7448, 0.2500, 0.9184], [0.2448, 0.2500, 0.5816], [0.9932, 0.2500, 0.7502], [0.7572, 0.2500, 0.1913]],
  "dft_energy_ev_per_atom": -4.94,
  "dos_ef_per_ev_fu": 1.4,
  "total_magnetization_mub_per_cell": 12.0,
  "raw_formation_energy_ev_per_atom": -0.580
}


Record 12
{
  "formula": "CsCrSe2",
  "functional": "PBE",
  "state": "relaxed",
  "lattice": [[-2.4962, 7.8780, -2.6894], [-1.7345, -2.3633, 7.6379], [3.8417, 2.3507, -0.5941]],
  "species": ["Cs", "Cr", "Se", "Se", "Cr", "Se", "Cs", "Se"],
  "frac_coords": [[0.7069, 0.7360, 0.2791], [0.3336, 0.9717, 0.9644], [0.3040, 0.3767, 0.4418], [0.5751, 0.1786, 0.6983], [0.3255, 0.1095, 0.4577], [0.3550, 0.7044, 0.9802], [0.9521, 0.3453, 0.1433], [0.0839, 0.9026, 0.7237]],
  "dft_energy_ev_per_atom": -4.96,
  "dos_ef_per_ev_fu": 0.2,
  "total_magnetization_mub_per_cell": 0.0,
  "raw_formation_energy_ev_per_atom": -0.597
}